Record 1
Computed, not measured: crystalline La2CdH2 at its relaxed geometry at the GGA-PBE level of DFT.

spin magnetization = 0.000 μB per formula unit
E above lowest polymorph = 0.000 eV/atom
DFT total energy = -20.1 eV per formula unit
space group = I4/mmm

abc: 7.0483 7.0483 7.0483
angles: 146.53 146.53 48.06
Sites, in units of the cell vectors:
La 0.1492 0.1492 0.0000
La 0.8508 0.8508 0.0000
Cd 0.5000 0.5000 0.0000
H 0.2500 0.7500 0.5000
H 0.7500 0.2500 0.5000



Record 2
Computed, not measured: crystalline KTl2Sb at its relaxed geometry at the GGA-PBE level of DFT.

formation energy without anion corrections = -142 meV/atom
spin magnetization = 0.000 μB per formula unit
DFT total energy = -10.5 eV per formula unit
space group = Pm

abc: 3.7411 5.3852 6.9193
angles: 90.00 90.43 90.00
Sites, in units of the cell vectors:
K 0.0000 0.0000 0.0000
Tl 0.0113 0.5000 0.6145
Tl 0.5081 0.0000 0.4992
Sb 0.5031 0.5000 0.2284



Record 3
Computed, not measured: crystalline ScNi2Te at its relaxed geometry at the GGA-PBE level of DFT.

formation energy without anion corrections = -463 meV/atom
spin magnetization = 0.000 μB per formula unit
DFT total energy = -22.9 eV per formula unit
space group = Cm

abc: 4.3890 4.3890 8.5774
angles: 91.91 91.91 55.79
Sites, in units of the cell vectors:
Sc 0.0000 0.0000 0.0000
Sc 0.7153 0.7153 0.4686
Ni 0.0235 0.0235 0.3321
Ni 0.0568 0.0568 0.6278
Ni 0.4094 0.4094 0.5116
Ni 0.6511 0.6511 0.8300
Te 0.3321 0.3321 0.7881
Te 0.3369 0.3369 0.2183



Which of these has the highest DFT total energy?
KTl2Sb



The highest DFT total energy belongs to which entry?
KTl2Sb